Entry 1:
Here is a relaxed structure of CaYSiPd from Alexandria via LeMat-Bulk. Energies are from GGA-PBE.

The value obtained for the formation energy without anion corrections is -632 meV per atom.

It has space group F-43m (No. 216), with a = 7.0579 Å, b = 7.0579 Å, c = 7.0579 Å, α = 90.00°, β = 90.00° and γ = 90.00°. The asymmetric unit holds Ca at (0.0000, 0.0000, 0.0000), Y at (0.0000, 0.0000, 0.5000), Si at (0.2500, 0.2500, 0.7500) and Pd at (0.2500, 0.2500, 0.2500).



Entry 2:
Here is a relaxed structure of BaAlMo2 from Alexandria via LeMat-Bulk. Energies are from GGA-PBE.

The formation energy comes out at 12.57 kcal/mol of atoms.

It has space group C2/m (No. 12), with a = 9.5188 Å, b = 3.3246 Å, c = 6.2754 Å, α = 90.00°, β = 97.14° and γ = 90.00°. The asymmetric unit holds Ba at (0.0000, 0.0000, 0.0000), Al at (0.0000, 0.5000, 0.5000) and Mo at (0.2283, 0.0000, 0.6312).



Entry 3:
Here is a relaxed structure of In2Pd8Au from Alexandria via LeMat-Bulk. Energies are from GGA-PBE.

The value obtained for the excess energy over the best structure of this formula in the dataset is 0.045 eV/atom. The formation energy comes out at -6.11 kcal/mol of atoms.

It has space group Immm (No. 71), with a = 4.2715 Å, b = 7.1834 Å, c = 12.2431 Å, α = 90.00°, β = 90.00° and γ = 90.00°. The asymmetric unit holds In at (0.0000, 0.0000, 0.1904), Pd at (0.0000, 0.2077, 0.0000), Pd at (0.0000, 0.2759, 0.3447), Pd at (0.0000, 0.5000, 0.1536) and Au at (0.0000, 0.0000, 0.5000).



Entry 4:
Here is a relaxed structure of Ca2H6IrPd from Alexandria via LeMat-Bulk. Energies are from GGA-PBE.

It has space group Fmmm (No. 69), with a = 7.3787 Å, b = 7.3934 Å, c = 7.4953 Å, α = 90.00°, β = 90.00° and γ = 90.00°. The asymmetric unit holds Ca at (0.2500, 0.2500, 0.2500), H at (0.0000, 0.0000, 0.2347), H at (0.0000, 0.2379, 0.0000), H at (0.2386, 0.0000, 0.0000), Ir at (0.0000, 0.0000, 0.0000) and Pd at (0.0000, 0.0000, 0.5000).



no.,total magnetic moment (μB per atom),final energy (eV per atom)
1,0.00,-5.40
2,0.00,-6.29
3,0.00,-4.84
4,0.00,-4.39